This record from the Alexandria database describes an optimized crystal structure of Na3DyMo2O6. The functional is PBE with a Hubbard U.

Calculated values
For the density of states at the Fermi level, the calculation gives 0.00 states/eV/cell. The total DFT energy (no corrections) comes out at -77.20 eV for the cell shown. The calculation puts the size of the total moment at 6.00 μB per formula unit.

Unit cell a=5.7138 b=5.7138 c=5.8451 alpha=99.32 beta=99.32 gamma=120.02
Fractional coordinates of all 12 atoms:
O1 0.0698 0.4139 0.2107
O2 0.7264 0.7264 0.2124
O3 0.9302 0.5861 0.7893
O4 0.5861 0.9302 0.7893
O5 0.4139 0.0698 0.2107
O6 0.2736 0.2736 0.7876
Na1 0.1718 0.8282 0.5000
Na2 0.8282 0.1718 0.5000
Na3 0.5000 0.5000 0.5000
Dy1 0.0000 0.0000 0.0000
Mo1 0.3335 0.6665 0.0000
Mo2 0.6665 0.3335 0.0000